Record 1
Density functional theory data (PBE) for AlGaH after structural relaxation.

## Properties
**Calculated volume**: 83 Å³/cell
**E above lowest polymorph**: 59 meV per atom
**DOS(E_F)**: 0.7 states/eV/f.u.

```
AlGaH
1.0
-0.5366 -2.6269 -0.6846
2.6212 0.2739 -3.1060
5.6812 -0.9786 4.7082
H Al Ga
2 2 2
direct
0.3309 0.4393 0.4998 H
0.6691 0.9393 0.5002 H
0.4059 0.6900 0.3129 Al
0.5941 0.1900 0.6871 Al
0.1925 0.6901 0.8838 Ga
0.8075 0.1901 0.1162 Ga
```

Record 2
Density functional theory data (PBE) for AlGaH after structural relaxation.

## Properties
**Calculated volume**: 163 Å³/cell
**E above lowest polymorph**: 31 meV per atom
**DOS(E_F)**: 0.8 states/eV/f.u.

```
AlGaH
1.0
5.6914 0.0000 0.0000
0.0000 9.8125 0.0000
0.0000 0.0000 2.9248
Ga H Al
4 4 4
direct
0.5000 0.2328 0.5000 Ga
0.0000 0.7328 0.5000 Ga
0.0000 0.2672 0.5000 Ga
0.5000 0.7672 0.5000 Ga
0.6880 0.5000 0.0000 H
0.1880 0.0000 0.0000 H
0.8120 0.0000 0.0000 H
0.3120 0.5000 0.0000 H
0.5000 0.5000 0.5000 Al
0.5000 0.0000 0.0000 Al
0.0000 0.0000 0.5000 Al
0.0000 0.5000 0.0000 Al
```

Record 3
Density functional theory data (PBE) for Al2GaHIr after structural relaxation.

## Properties
**Calculated volume**: 72 Å³/cell
**Total DFT energy (no corrections)**: -4.117 eV/atom
**DOS(E_F)**: 2.7 states/eV/f.u.

```
Al2GaHIr
1.0
-4.6011 1.4888 -0.4680
-0.4823 -0.5548 2.9769
1.3607 4.5406 1.0666
Al Ga H Ir
2 1 1 1
direct
0.5000 0.0000 0.0000 Al
0.0000 0.0000 0.5000 Al
0.0000 0.0000 0.0000 Ga
0.0000 0.5000 0.0000 H
0.5000 0.5000 0.5000 Ir
```